! PBE TaRe2, relaxed; values from VASP
&SYSTEM
  ibrav = 0, nat = 6, ntyp = 2
/
ATOMIC_SPECIES
Ta 180.95 Ta.upf
Re 186.21 Re.upf
ATOMIC_POSITIONS crystal
Ta 0.7500 0.7500 0.7500
Re 0.1250 0.1250 0.6250
Re 0.1250 0.6250 0.1250
Re 0.6250 0.1250 0.1250
Re 0.1250 0.1250 0.1250
Ta 0.5000 0.5000 0.5000
CELL_PARAMETERS angstrom
0.0000 3.6667 3.6667
3.6667 0.0000 3.6667
3.6667 3.6667 0.0000
! **V**: 16.43 A^3/atom
! **Energy relative to the elements**: -0.30 eV/f.u.

=====

! PBE TaRe2, relaxed; values from VASP
&SYSTEM
  ibrav = 0, nat = 30, ntyp = 2
/
ATOMIC_SPECIES
Re 186.21 Re.upf
Ta 180.95 Ta.upf
ATOMIC_POSITIONS crystal
Re 0.3154 0.6846 0.7483
Re 0.2600 0.9291 0.0000
Ta 0.6370 0.0409 0.5000
Re 0.1846 0.1846 0.7517
Re 0.7400 0.0709 0.0000
Ta 0.5000 0.5000 0.5000
Re 0.5904 0.5904 0.0000
Re 0.3154 0.6846 0.2517
Re 0.2400 0.4291 0.5000
Re 0.1846 0.1846 0.2483
Ta 0.3630 0.9591 0.5000
Ta 0.9591 0.3630 0.5000
Ta 0.1370 0.4591 0.0000
Re 0.8154 0.8154 0.2483
Re 0.7600 0.5709 0.5000
Re 0.6846 0.3154 0.2517
Re 0.4096 0.4096 0.0000
Ta 0.0000 0.0000 0.0000
Ta 0.0409 0.6370 0.5000
Re 0.9291 0.2600 0.0000
Re 0.0904 0.9096 0.5000
Re 0.0709 0.7400 0.0000
Re 0.4291 0.2400 0.5000
Ta 0.4591 0.1370 0.0000
Re 0.5709 0.7600 0.5000
Re 0.9096 0.0904 0.5000
Re 0.6846 0.3154 0.7483
Ta 0.8630 0.5409 0.0000
Re 0.8154 0.8154 0.7517
Ta 0.5409 0.8630 0.0000
CELL_PARAMETERS angstrom
9.7502 0.0000 0.0000
0.0000 9.7502 0.0000
0.0000 0.0000 5.1036
! **V**: 16.17 A^3/atom
! **Energy relative to the elements**: -0.22 eV/f.u.

=====

! PBE Ta12Re17, relaxed; values from VASP
&SYSTEM
  ibrav = 0, nat = 29, ntyp = 2
/
ATOMIC_SPECIES
Re 186.21 Re.upf
Ta 180.95 Ta.upf
ATOMIC_POSITIONS crystal
Re 0.3489 0.3489 0.3489
Re 0.1799 0.8126 0.8126
Re 0.3673 0.0000 0.1874
Re 0.8201 0.6327 0.6327
Ta 0.0000 0.4066 0.6878
Re 0.1874 0.0000 0.3673
Ta 0.6878 0.4066 0.0000
Ta 0.0000 0.6878 0.4066
Ta 0.3122 0.7187 0.3122
Re 0.3673 0.1874 0.0000
Re 0.6511 0.0000 0.0000
Ta 0.3122 0.3122 0.7187
Ta 0.5934 0.5934 0.2813
Re 0.0000 0.6511 0.0000
Ta 0.5934 0.2813 0.5934
Re 0.0000 0.3673 0.1874
Re 0.6327 0.6327 0.8201
Ta 0.7187 0.3122 0.3122
Re 0.8126 0.1799 0.8126
Re 0.0000 0.0000 0.6511
Re 0.8126 0.8126 0.1799
Re 0.6327 0.8201 0.6327
Ta 0.4066 0.6878 0.0000
Ta 0.4066 0.0000 0.6878
Ta 0.2813 0.5934 0.5934
Ta 0.6878 0.0000 0.4066
Re 0.0000 0.0000 0.0000
Re 0.0000 0.1874 0.3673
Re 0.1874 0.3673 0.0000
CELL_PARAMETERS angstrom
-4.9329 4.9329 4.9329
4.9329 -4.9329 4.9329
4.9329 4.9329 -4.9329
! **Polymorph energy (0 for the lowest one)**: 0 meV per atom
! **V**: 16.56 A^3/atom
! **Energy relative to the elements**: -1.21 eV/f.u.

=====

! PBE Ta2Re, relaxed; values from VASP
&SYSTEM
  ibrav = 0, nat = 12, ntyp = 2
/
ATOMIC_SPECIES
Ta 180.95 Ta.upf
Re 186.21 Re.upf
ATOMIC_POSITIONS crystal
Ta 0.1658 0.8342 0.5593
Ta 0.8342 0.1658 0.0593
Re 0.3254 0.1615 0.2500
Ta 0.5000 0.5000 0.0000
Re 0.1615 0.3254 0.7500
Ta 0.8342 0.1658 0.4407
Re 0.6746 0.8385 0.7500
Ta 0.1658 0.8342 0.9407
Ta 0.3248 0.6752 0.2500
Ta 0.5000 0.5000 0.5000
Re 0.8385 0.6746 0.2500
Ta 0.6752 0.3248 0.7500
CELL_PARAMETERS angstrom
2.6301 -4.6266 0.0000
2.6301 4.6266 0.0000
0.0000 0.0000 8.7412
! **V**: 17.73 A^3/atom
! **Energy relative to the elements**: -0.20 eV/f.u.

=====

! PBE Ta2Re, relaxed; values from VASP
&SYSTEM
  ibrav = 0, nat = 30, ntyp = 2
/
ATOMIC_SPECIES
Ta 180.95 Ta.upf
Re 186.21 Re.upf
ATOMIC_POSITIONS crystal
Ta 0.8946 0.1054 0.5000
Ta 0.0627 0.7376 0.0000
Re 0.4669 0.1263 0.0000
Ta 0.8159 0.8159 0.2515
Ta 0.6841 0.3159 0.7515
Re 0.5331 0.8737 0.0000
Re 0.5000 0.5000 0.5000
Ta 0.8159 0.8159 0.7485
Ta 0.7624 0.5627 0.5000
Ta 0.2624 0.9373 0.0000
Ta 0.9373 0.2624 0.0000
Ta 0.3946 0.3946 0.0000
Ta 0.4373 0.2376 0.5000
Ta 0.3159 0.6841 0.7515
Ta 0.3159 0.6841 0.2485
Ta 0.5627 0.7624 0.5000
Re 0.0000 0.0000 0.0000
Ta 0.2376 0.4373 0.5000
Re 0.1263 0.4669 0.0000
Ta 0.6841 0.3159 0.2485
Re 0.3737 0.9669 0.5000
Ta 0.1841 0.1841 0.7485
Re 0.6263 0.0331 0.5000
Re 0.0331 0.6263 0.5000
Re 0.8737 0.5331 0.0000
Ta 0.1841 0.1841 0.2515
Ta 0.7376 0.0627 0.0000
Ta 0.6054 0.6054 0.0000
Ta 0.1054 0.8946 0.5000
Re 0.9669 0.3737 0.5000
CELL_PARAMETERS angstrom
-6.3740 7.4370 1.9227
-3.5832 -0.6686 -9.2923
-3.5460 -3.4570 1.6161
! **V**: 17.30 A^3/atom
! **Energy relative to the elements**: -0.29 eV/f.u.

=====

! PBE Ta11Re2, relaxed; values from VASP
&SYSTEM
  ibrav = 0, nat = 13, ntyp = 2
/
ATOMIC_SPECIES
Ta 180.95 Ta.upf
Re 186.21 Re.upf
ATOMIC_POSITIONS crystal
Ta 0.4520 0.4520 0.4520
Ta 0.9071 0.4127 0.9071
Ta 0.1672 0.1672 0.1672
Ta 0.5873 0.0929 0.0929
Ta 0.0929 0.0929 0.5873
Ta 0.5480 0.5480 0.5480
Ta 0.0929 0.5873 0.0929
Ta 0.0000 0.0000 0.0000
Ta 0.9071 0.9071 0.4127
Re 0.3572 0.3572 0.3572
Re 0.6428 0.6428 0.6428
Ta 0.8328 0.8328 0.8328
Ta 0.4127 0.9071 0.9071
CELL_PARAMETERS angstrom
2.7147 1.5673 9.3452
-2.7147 1.5673 9.3452
0.0000 -3.1346 9.3452
! **Polymorph energy (0 for the lowest one)**: 156 meV per atom
! **V**: 18.35 A^3/atom
! **Energy relative to the elements**: 3.38 eV/f.u.

=====

! PBE TaRe2, relaxed; values from VASP
&SYSTEM
  ibrav = 0, nat = 3, ntyp = 2
/
ATOMIC_SPECIES
Re 186.21 Re.upf
Ta 180.95 Ta.upf
ATOMIC_POSITIONS crystal
Re 0.6659 0.6659 0.0000
Ta 0.0000 0.0000 0.0000
Re 0.3341 0.3341 0.0000
CELL_PARAMETERS angstrom
0.8061 3.7443 3.6271
-3.3569 2.1920 3.4281
1.7860 -4.5298 -2.0290
! **V**: 15.77 A^3/atom
! **Energy relative to the elements**: -0.28 eV/f.u.

=====

! PBE Ta9Re4, relaxed; values from VASP
&SYSTEM
  ibrav = 0, nat = 13, ntyp = 2
/
ATOMIC_SPECIES
Ta 180.95 Ta.upf
Re 186.21 Re.upf
ATOMIC_POSITIONS crystal
Ta 0.9131 0.9131 0.4173
Ta 0.0869 0.0869 0.5827
Ta 0.6492 0.6492 0.6492
Ta 0.0000 0.0000 0.0000
Ta 0.4173 0.9131 0.9131
Re 0.5439 0.5439 0.5439
Re 0.8321 0.8321 0.8321
Ta 0.0869 0.5827 0.0869
Ta 0.5827 0.0869 0.0869
Re 0.1679 0.1679 0.1679
Re 0.4561 0.4561 0.4561
Ta 0.3508 0.3508 0.3508
Ta 0.9131 0.4173 0.9131
CELL_PARAMETERS angstrom
-9.4142 2.1456 1.5249
-6.6262 6.0819 3.8288
-7.4684 6.1382 -1.4498
! **Polymorph energy (0 for the lowest one)**: 0 meV per atom
! **V**: 17.66 A^3/atom
! **Energy relative to the elements**: 3.03 eV/f.u.

=====

! PBE Ta2Re3, relaxed; values from VASP
&SYSTEM
  ibrav = 0, nat = 30, ntyp = 2
/
ATOMIC_SPECIES
Ta 180.95 Ta.upf
Re 186.21 Re.upf
ATOMIC_POSITIONS crystal
Ta 0.2397 0.5556 0.0000
Ta 0.7397 0.9444 0.5000
Ta 0.3948 0.6052 0.5000
Re 0.9702 0.6305 0.0000
Re 0.6882 0.6882 0.7440
Ta 0.1052 0.1052 0.0000
Re 0.0000 0.0000 0.5000
Ta 0.2603 0.0556 0.5000
Re 0.5000 0.5000 0.0000
Re 0.5298 0.1305 0.5000
Ta 0.8948 0.8948 0.0000
Re 0.3118 0.3118 0.7440
Re 0.1882 0.8118 0.2441
Re 0.8118 0.1882 0.7559
Re 0.1882 0.8118 0.7559
Re 0.4702 0.8695 0.5000
Re 0.6882 0.6882 0.2559
Ta 0.0556 0.2603 0.5000
Re 0.1305 0.5298 0.5000
Ta 0.7603 0.4444 0.0000
Ta 0.6052 0.3948 0.5000
Ta 0.5556 0.2397 0.0000
Re 0.0298 0.3695 0.0000
Re 0.8695 0.4702 0.5000
Re 0.3695 0.0298 0.0000
Ta 0.9444 0.7397 0.5000
Re 0.6305 0.9702 0.0000
Re 0.8118 0.1882 0.2441
Ta 0.4444 0.7603 0.0000
Re 0.3118 0.3118 0.2559
CELL_PARAMETERS angstrom
9.8086 0.0000 0.0000
0.0000 9.8086 0.0000
0.0000 0.0000 5.1074
! **Polymorph energy (0 for the lowest one)**: 141 meV per atom
! **V**: 16.38 A^3/atom
! **Energy relative to the elements**: -0.17 eV/f.u.

=====

! PBE Ta3Re, relaxed; values from VASP
&SYSTEM
  ibrav = 0, nat = 24, ntyp = 2
/
ATOMIC_SPECIES
Ta 180.95 Ta.upf
Re 186.21 Re.upf
ATOMIC_POSITIONS crystal
Ta 0.3333 0.6667 0.8466
Ta 0.0000 0.0000 0.4099
Ta 0.8357 0.1643 0.7500
Ta 0.6667 0.3333 0.3466
Ta 0.0000 0.0000 0.9099
Re 0.5000 0.5000 0.0000
Ta 0.3333 0.6667 0.3809
Ta 0.6667 0.3333 0.6191
Ta 0.6715 0.8357 0.2500
Ta 0.3333 0.6667 0.6534
Re 0.5000 0.5000 0.5000
Ta 0.6667 0.3333 0.8809
Re 0.0000 0.5000 0.0000
Re 0.5000 0.0000 0.5000
Ta 0.1643 0.3285 0.2500
Ta 0.0000 0.0000 0.0901
Re 0.5000 0.0000 0.0000
Ta 0.6667 0.3333 0.1534
Ta 0.1643 0.8357 0.2500
Ta 0.8357 0.6715 0.7500
Ta 0.3285 0.1643 0.7500
Re 0.0000 0.5000 0.5000
Ta 0.3333 0.6667 0.1191
Ta 0.0000 0.0000 0.5901
CELL_PARAMETERS angstrom
5.3419 0.0000 0.0000
-2.6710 4.6263 0.0000
0.0000 0.0000 17.4161
! **V**: 17.93 A^3/atom
! **Energy relative to the elements**: -0.04 eV/f.u.

=====

! PBE TaRe2, relaxed; values from VASP
&SYSTEM
  ibrav = 0, nat = 30, ntyp = 2
/
ATOMIC_SPECIES
Re 186.21 Re.upf
Ta 180.95 Ta.upf
ATOMIC_POSITIONS crystal
Re 0.9030 0.0970 0.5000
Re 0.4030 0.4030 0.0000
Re 0.6852 0.3148 0.2473
Re 0.5375 0.8544 0.0000
Ta 0.7299 0.0619 0.0000
Re 0.6456 0.0375 0.5000
Ta 0.9381 0.2701 0.0000
Re 0.0375 0.6456 0.5000
Ta 0.7701 0.5619 0.5000
Re 0.3148 0.6852 0.2473
Re 0.4625 0.1456 0.0000
Re 0.0970 0.9030 0.5000
Re 0.6852 0.3148 0.7527
Ta 0.0619 0.7299 0.0000
Re 0.1852 0.1852 0.7473
Ta 0.4381 0.2299 0.5000
Re 0.3148 0.6852 0.7527
Re 0.3544 0.9625 0.5000
Re 0.8148 0.8148 0.7473
Ta 0.5000 0.5000 0.5000
Re 0.9625 0.3544 0.5000
Re 0.5970 0.5970 0.0000
Ta 0.0000 0.0000 0.0000
Ta 0.2299 0.4381 0.5000
Ta 0.2701 0.9381 0.0000
Re 0.1852 0.1852 0.2527
Re 0.8148 0.8148 0.2527
Ta 0.5619 0.7701 0.5000
Re 0.8544 0.5375 0.0000
Re 0.1456 0.4625 0.0000
CELL_PARAMETERS angstrom
-6.3027 4.7672 -5.6498
-6.6725 -0.4730 7.0445
1.6863 4.4789 1.8980
! **V**: 16.20 A^3/atom
! **Energy relative to the elements**: 0.31 eV/f.u.

=====

! PBE Ta2Re, relaxed; values from VASP
&SYSTEM
  ibrav = 0, nat = 24, ntyp = 2
/
ATOMIC_SPECIES
Ta 180.95 Ta.upf
Re 186.21 Re.upf
ATOMIC_POSITIONS crystal
Ta 0.6667 0.3333 0.3435
Ta 0.6667 0.3333 0.1565
Re 0.3333 0.6667 0.1246
Re 0.6667 0.3333 0.8754
Ta 0.3286 0.1643 0.7500
Ta 0.5000 0.0000 0.5000
Ta 0.0000 0.5000 0.0000
Re 0.3333 0.6667 0.3754
Re 0.0000 0.0000 0.8989
Ta 0.5000 0.5000 0.0000
Re 0.0000 0.0000 0.3989
Ta 0.1643 0.8357 0.2500
Ta 0.1643 0.3286 0.2500
Ta 0.5000 0.5000 0.5000
Ta 0.0000 0.5000 0.5000
Ta 0.8357 0.1643 0.7500
Re 0.0000 0.0000 0.6011
Ta 0.8357 0.6714 0.7500
Re 0.6667 0.3333 0.6246
Ta 0.6714 0.8357 0.2500
Ta 0.5000 0.0000 0.0000
Re 0.0000 0.0000 0.1011
Ta 0.3333 0.6667 0.6565
Ta 0.3333 0.6667 0.8435
CELL_PARAMETERS angstrom
5.4168 0.0000 0.0000
-2.7084 4.6911 0.0000
0.0000 0.0000 16.7256
! **V**: 17.71 A^3/atom
! **Energy relative to the elements**: 0.57 eV/f.u.